(1)
Material: Nb2AsIO
Method: DFT, GGA-PBE
State: relaxed

a = 4.419 Å, b = 4.419 Å, c = 4.526 Å
α = 90.00°, β = 90.00°, γ = 90.00°
Fractional positions:
Nb 0.000 0.500 0.000
Nb 0.500 0.000 0.000
As 0.000 0.000 0.500
I 0.500 0.500 0.500
O 0.000 0.000 0.000

## Properties
DFT total energy	-6.093	eV per atom

---

(2)
Material: NbAsIO2
Method: DFT, GGA-PBE
State: relaxed

a = 4.007 Å, b = 4.007 Å, c = 5.739 Å
α = 90.00°, β = 90.00°, γ = 90.00°
Fractional positions:
Nb 0.000 0.000 0.000
As 0.500 0.500 0.500
I 0.500 0.500 0.000
O 0.000 0.500 0.500
O 0.500 0.000 0.500

## Properties
DFT total energy	-4.936	eV per atom

---

(3)
Material: NbAsI2O
Method: DFT, GGA-PBE
State: relaxed

a = 5.676 Å, b = 5.676 Å, c = 3.885 Å
α = 90.00°, β = 90.00°, γ = 90.00°
Fractional positions:
Nb 0.000 0.000 0.000
As 0.500 0.500 0.500
I 0.000 0.500 0.000
I 0.500 0.000 0.000
O 0.000 0.000 0.500

## Properties
DFT total energy	-4.817	eV per atom

---

(4)
Material: NbAs2PdI
Method: DFT, GGA-PBE
State: relaxed

a = 4.804 Å, b = 4.804 Å, c = 5.269 Å
α = 90.00°, β = 90.00°, γ = 90.00°
Fractional positions:
Nb 0.000 0.000 0.000
As 0.000 0.500 0.500
As 0.500 0.000 0.500
Pd 0.500 0.500 0.500
I 0.500 0.500 0.000

## Properties
DFT total energy	-4.252	eV per atom